(1)
Material: Zr2P
Method: DFT, SCAN
State: single point on PBEsol structure

abc: 3.7277 7.0907 7.0907
angles: 120.00 90.00 90.00
Positions (direct):
P1 0.0000 0.6667 0.3333
P2 0.0000 0.3333 0.6667
P3 0.5000 0.0000 0.0000
Zr1 0.0000 0.7453 0.7453
Zr2 0.0000 0.0000 0.2547
Zr3 0.0000 0.2547 0.0000
Zr4 0.5000 0.4097 0.4097
Zr5 0.5000 0.0000 0.5903
Zr6 0.5000 0.5903 0.0000

Results
Calculated formation energy ... -329 kJ/mol of formula units
Volume ... 18.03 A^3/atom
Magnetic moment ... 0.00 μB per cell
Space group ... P-62m (189)
ρ ... 6.55 g/cm³

(2)
Material: PaSnPd2
Method: DFT, SCAN
State: single point on PBEsol structure

abc: 4.7847 4.7847 4.7847
angles: 60.00 60.00 60.00
Site moments in Bohr magnetons follow the coordinates.
Positions (direct):
Pa1 0.0000 0.0000 0.0000  0.19
Sn1 0.5000 0.5000 0.5000  0.01
Pd1 0.7500 0.7500 0.7500  0.00
Pd2 0.2500 0.2500 0.2500  0.00

Results
Calculated formation energy ... -224 kJ/mol of formula units
Volume ... 19.36 A^3/atom
Magnetic moment ... 0.21 μB per cell
Space group ... Fm-3m (225)
ρ ... 12.06 g/cm³

(3)
Material: PaPt5
Method: DFT, SCAN
State: single point on PBEsol structure

abc: 5.2399 5.2399 5.2399
angles: 60.00 60.00 60.00
Positions (direct):
Pa1 0.0000 0.0000 0.0000
Pt1 0.7500 0.7500 0.7500
Pt2 0.8735 0.3755 0.3755
Pt3 0.3755 0.3755 0.3755
Pt4 0.3755 0.8735 0.3755
Pt5 0.3755 0.3755 0.8735

Results
Calculated formation energy ... -473 kJ/mol of formula units
Volume ... 16.96 A^3/atom
Magnetic moment ... 0.00 μB per cell
Space group ... F-43m (216)
ρ ... 19.69 g/cm³

(4)
Material: PaRh3
Method: DFT, SCAN
State: single point on PBEsol structure

abc: 3.9960 3.9960 3.9960
angles: 90.00 90.00 90.00
Positions (direct):
Pa1 0.0000 0.0000 0.0000
Rh1 0.5000 0.0000 0.5000
Rh2 0.0000 0.5000 0.5000
Rh3 0.5000 0.5000 0.0000

Results
Calculated formation energy ... -358 kJ/mol of formula units
Volume ... 15.95 A^3/atom
Magnetic moment ... 0.00 μB per cell
Space group ... Pm-3m (221)
ρ ... 14.05 g/cm³